(1)
{
  "formula": "Ho2SnPd5Au",
  "functional": "PBE",
  "state": "optimized geometry",
  "lattice_angstrom": [[-5.008, 6.513, -1.924], [0.659, -1.914, -8.192], [-2.077, -5.452, 5.453]],
  "species": ["Ho", "Ho", "Ho", "Ho", "Sn", "Sn", "Pd", "Pd", "Pd", "Pd", "Pd", "Pd", "Pd", "Pd", "Pd", "Pd", "Au", "Au"],
  "frac_coords": [[0.128, 0.372, 0.000], [0.628, 0.128, 0.000], [0.372, 0.872, 0.000], [0.872, 0.628, 0.000], [0.250, 0.250, 0.500], [0.750, 0.750, 0.500], [0.940, 0.440, 0.267], [0.673, 0.173, 0.733], [0.060, 0.560, 0.733], [0.173, 0.060, 0.733], [0.560, 0.673, 0.733], [0.827, 0.940, 0.267], [0.440, 0.327, 0.267], [0.327, 0.827, 0.267], [0.500, 0.500, 0.000], [0.000, 0.000, 0.000], [0.250, 0.750, 0.500], [0.750, 0.250, 0.500]],
  "delta_e_f_ev_per_atom": -0.359,
  "vol_a3_per_atom": 20.99,
  "n_ef_per_ev_atom": 0.4764
}



(2)
{
  "formula": "Mg2ReRu",
  "functional": "PBE",
  "state": "optimized geometry",
  "lattice_angstrom": [[-2.840, 3.612, -2.713], [-5.298, -0.597, -0.233], [4.314, 0.705, 3.061]],
  "species": ["Mg", "Mg", "Re", "Ru"],
  "frac_coords": [[0.009, 0.009, 0.000], [0.491, 0.491, 0.000], [0.750, 0.250, 0.500], [0.250, 0.750, 0.500]],
  "delta_e_f_ev_per_atom": 0.263,
  "polymorph_energy_ev_per_fu": 1.00,
  "vol_a3_per_atom": 15.71,
  "n_ef_per_ev_atom": 0.6748
}



no.,total DFT energy (no corrections) (eV/atom)
1,-5.070
2,-5.965